(1)
# Ho6SiAs3S2 (PBE, relaxed)
# Total energy ... -6.1637 eV per atom
# Volume ... 559.0 Å³/cell
# Density ... 7.8 Mg/m³
# Magnetization ... 0.00 μB per cell
data_Ho6SiAs3S2
_space_group_name_H-M_alt 'C 1 2/m 1'
_space_group_IT_number 12
_cell_length_a 17.581
_cell_length_b 4.039
_cell_length_c 8.084
_cell_angle_alpha 90.00
_cell_angle_beta 103.11
_cell_angle_gamma 90.00
loop_
_space_group_symop_operation_xyz
'x,y,z'
'-x,-y,-z'
'-x,y,-z'
'x,-y,z'
'x+1/2,y+1/2,z'
'-x+1/2,-y+1/2,-z'
'-x+1/2,y+1/2,-z'
'x+1/2,-y+1/2,z'
loop_
_atom_site_label
_atom_site_fract_x
_atom_site_fract_y
_atom_site_fract_z
_atom_site_occupancy
Ho1 0.001 0.000 0.247 1
Ho2 0.165 0.500 0.082 1
Ho3 0.166 0.500 0.584 1
Si1 0.000 0.500 0.000 1
As1 0.000 0.500 0.500 1
As2 0.168 0.000 0.831 1
S1 0.169 0.000 0.338 1



(2)
# BaAl2Zn6 (PBE, relaxed)
# Formation energy ... -105 meV per atom
# Total energy ... -1.9999 eV per atom
# Volume ... 176.9 Å³/cell
# Density ... 5.5 Mg/m³
# Magnetization ... 0.00 μB per cell
data_BaAl2Zn6
_space_group_name_H-M_alt 'P 4/m m m'
_space_group_IT_number 123
_space_group_name_Hall '-P 4 2'
_cell_length_a 4.658
_cell_length_b 4.658
_cell_length_c 8.150
_cell_angle_alpha 90.00
_cell_angle_beta 90.00
_cell_angle_gamma 90.00
loop_
_atom_site_label
_atom_site_fract_x
_atom_site_fract_y
_atom_site_fract_z
_atom_site_occupancy
Ba1 0.000 0.000 0.000 1
Al1 0.500 0.500 0.165 1
Zn1 0.000 0.000 0.500 1
Zn2 0.000 0.500 0.324 1
Zn3 0.500 0.500 0.500 1